No. 1
DFT (PBE) results for a relaxed structure of HfSc6S8.

Results
E_form (uncorrected)   -1.86 eV per atom
Magnetization   0.000 μB/atom
Final energy   -108.80 eV/f.u.

a b c (Å): 10.383 10.383 10.383
angles (deg): 90.00 90.00 90.00
Space group Fm-3m (No. 225)
Unique sites:
Hf 0.000 0.000 0.000
Sc 0.000 0.250 0.250
S 0.000 0.000 0.251
S 0.250 0.250 0.250

=====

No. 2
DFT (PBE) results for a relaxed structure of NaIn2Bi3.

Results
Magnetization   0.000 μB/atom
Final energy   -18.78 eV/f.u.
Energy of formation from the pure elements   -0.056 eV/atom

a b c (Å): 17.481 6.816 6.178
angles (deg): 90.00 93.90 90.00
Space group C2/c (No. 15)
Unique sites:
Na 0.000 0.124 0.250
In 0.170 0.348 0.109
Bi 0.000 0.380 0.750
Bi 0.161 0.183 0.607